Record 1
# CaRh3W | the Alexandria database | PBE | optimized geometry
# * ΔE_f: 383 meV per atom
# * N(E_F): 0.807 states/eV per atom
# * electronic total energy: -35.09 eV for the cell shown
# * energy above the most stable polymorph in this dataset: 0.000 eV per atom
data_CaRh3W
_cell_length_a 4.7631
_cell_length_b 4.7631
_cell_length_c 4.7631
_cell_angle_alpha 90.00
_cell_angle_beta 90.00
_cell_angle_gamma 90.00
_space_group_name_H-M_alt 'P m -3 m'
_space_group_IT_number 221
_space_group_name_Hall '-P 4 2 3'
loop_
_atom_site_label
_atom_site_fract_x
_atom_site_fract_y
_atom_site_fract_z
Ca1 0.0000 0.0000 0.0000
Rh1 0.0000 0.5000 0.5000
W1 0.5000 0.5000 0.5000

=====

Record 2
# CaRhW2 | the Alexandria database | PBE | optimized geometry
# * ΔE_f: 651 meV per atom
# * N(E_F): 1.158 states/eV per atom
# * electronic total energy: -32.65 eV for the cell shown
# * energy above the most stable polymorph in this dataset: 0.346 eV per atom
data_CaRhW2
_cell_length_a 2.7623
_cell_length_b 4.8113
_cell_length_c 5.3047
_cell_angle_alpha 90.00
_cell_angle_beta 90.00
_cell_angle_gamma 90.00
_space_group_name_H-M_alt 'P m m m'
_space_group_IT_number 47
_space_group_name_Hall '-P 2 2'
loop_
_atom_site_label
_atom_site_fract_x
_atom_site_fract_y
_atom_site_fract_z
Ca1 0.0000 0.0000 0.0000
Rh1 0.0000 0.0000 0.5000
W1 0.5000 0.5000 0.2537

=====

Record 3
# Ca2RhW | the Alexandria database | PBE | optimized geometry
# * ΔE_f: 360 meV per atom
# * N(E_F): 0.862 states/eV per atom
# * electronic total energy: -45.73 eV for the cell shown
# * energy above the most stable polymorph in this dataset: 0.158 eV per atom
data_Ca2RhW
_cell_length_a 3.5171
_cell_length_b 5.1703
_cell_length_c 10.2005
_cell_angle_alpha 90.00
_cell_angle_beta 90.00
_cell_angle_gamma 90.00
_space_group_name_H-M_alt 'I m m 2'
_space_group_IT_number 44
_space_group_name_Hall 'I 2 -2'
loop_
_atom_site_label
_atom_site_fract_x
_atom_site_fract_y
_atom_site_fract_z
Ca1 0.0000 0.0000 0.0000
Ca2 0.0000 0.5000 0.2141
Rh1 0.0000 0.5000 0.7555
W1 0.0000 0.0000 0.4215

=====

Record 4
# Ca2RhW | the Alexandria database | PBE | optimized geometry
# * ΔE_f: 461 meV per atom
# * N(E_F): 1.052 states/eV per atom
# * electronic total energy: -22.46 eV for the cell shown
# * energy above the most stable polymorph in this dataset: 0.259 eV per atom
data_Ca2RhW
_cell_length_a 2.9693
_cell_length_b 2.9693
_cell_length_c 9.2520
_cell_angle_alpha 90.00
_cell_angle_beta 90.00
_cell_angle_gamma 90.00
_space_group_name_H-M_alt 'P 4/m m m'
_space_group_IT_number 123
_space_group_name_Hall '-P 4 2'
loop_
_atom_site_label
_atom_site_fract_x
_atom_site_fract_y
_atom_site_fract_z
Ca1 0.0000 0.0000 0.2240
Rh1 0.5000 0.5000 0.0000
W1 0.5000 0.5000 0.5000

=====

Record 5
# CaRhW2 | the Alexandria database | PBE | optimized geometry
# * ΔE_f: 340 meV per atom
# * N(E_F): 0.883 states/eV per atom
# * electronic total energy: -67.80 eV for the cell shown
# * energy above the most stable polymorph in this dataset: 0.035 eV per atom
data_CaRhW2
_cell_length_a 11.1314
_cell_length_b 2.9721
_cell_length_c 4.5984
_cell_angle_alpha 90.00
_cell_angle_beta 110.78
_cell_angle_gamma 90.00
_space_group_name_H-M_alt 'C 1 2/m 1'
_space_group_IT_number 12
_space_group_name_Hall '-C 2y'
loop_
_atom_site_label
_atom_site_fract_x
_atom_site_fract_y
_atom_site_fract_z
Ca1 0.0000 0.0000 0.0000
Rh1 0.0000 0.5000 0.5000
W1 0.2271 0.0000 0.7270

=====

Record 6
# CaRhW2 | the Alexandria database | PBE | optimized geometry
# * ΔE_f: 492 meV per atom
# * N(E_F): 1.023 states/eV per atom
# * electronic total energy: -133.16 eV for the cell shown
# * energy above the most stable polymorph in this dataset: 0.187 eV per atom
data_CaRhW2
_cell_length_a 6.4993
_cell_length_b 6.4993
_cell_length_c 6.4993
_cell_angle_alpha 90.00
_cell_angle_beta 90.00
_cell_angle_gamma 90.00
_space_group_name_H-M_alt 'F -4 3 m'
_space_group_IT_number 216
_space_group_name_Hall 'F -4 2 3'
loop_
_atom_site_label
_atom_site_fract_x
_atom_site_fract_y
_atom_site_fract_z
Ca1 0.0000 0.0000 0.0000
Rh1 0.2500 0.2500 0.2500
W1 0.0000 0.0000 0.5000
W2 0.2500 0.2500 0.7500

=====

Record 7
# CaRhW2 | the Alexandria database | PBE | optimized geometry
# * ΔE_f: 960 meV per atom
# * N(E_F): 0.740 states/eV per atom
# * electronic total energy: -125.68 eV for the cell shown
# * energy above the most stable polymorph in this dataset: 0.655 eV per atom
data_CaRhW2
_cell_length_a 6.4604
_cell_length_b 6.4604
_cell_length_c 6.4604
_cell_angle_alpha 90.00
_cell_angle_beta 90.00
_cell_angle_gamma 90.00
_space_group_name_H-M_alt 'F m -3 m'
_space_group_IT_number 225
_space_group_name_Hall '-F 4 2 3'
loop_
_atom_site_label
_atom_site_fract_x
_atom_site_fract_y
_atom_site_fract_z
Ca1 0.0000 0.0000 0.0000
Rh1 0.0000 0.0000 0.5000
W1 0.2500 0.2500 0.2500

=====

Record 8
# CaRhW2 | the Alexandria database | PBE | optimized geometry
# * ΔE_f: 968 meV per atom
# * N(E_F): 1.434 states/eV per atom
# * electronic total energy: -31.39 eV for the cell shown
# * energy above the most stable polymorph in this dataset: 0.663 eV per atom
data_CaRhW2
_cell_length_a 4.9201
_cell_length_b 4.9201
_cell_length_c 2.8469
_cell_angle_alpha 90.00
_cell_angle_beta 90.00
_cell_angle_gamma 90.00
_space_group_name_H-M_alt 'P 4/m m m'
_space_group_IT_number 123
_space_group_name_Hall '-P 4 2'
loop_
_atom_site_label
_atom_site_fract_x
_atom_site_fract_y
_atom_site_fract_z
Ca1 0.0000 0.0000 0.0000
Rh1 0.5000 0.5000 0.0000
W1 0.0000 0.5000 0.5000

=====

Record 9
# CaRhW2 | the Alexandria database | PBE | optimized geometry
# * ΔE_f: 538 meV per atom
# * N(E_F): 0.663 states/eV per atom
# * electronic total energy: -66.22 eV for the cell shown
# * energy above the most stable polymorph in this dataset: 0.233 eV per atom
data_CaRhW2
_cell_length_a 3.0819
_cell_length_b 5.0720
_cell_length_c 9.3731
_cell_angle_alpha 90.00
_cell_angle_beta 90.00
_cell_angle_gamma 90.00
_space_group_name_H-M_alt 'I m m 2'
_space_group_IT_number 44
_space_group_name_Hall 'I 2 -2'
loop_
_atom_site_label
_atom_site_fract_x
_atom_site_fract_y
_atom_site_fract_z
Ca1 0.0000 0.0000 0.0000
Rh1 0.0000 0.5000 0.2322
W1 0.0000 0.0000 0.5015
W2 0.0000 0.5000 0.7876

=====

Record 10
# CaRhW2 | the Alexandria database | PBE | optimized geometry
# * ΔE_f: 546 meV per atom
# * N(E_F): 0.815 states/eV per atom
# * electronic total energy: -66.15 eV for the cell shown
# * energy above the most stable polymorph in this dataset: 0.241 eV per atom
data_CaRhW2
_cell_length_a 3.8294
_cell_length_b 3.8294
_cell_length_c 9.6546
_cell_angle_alpha 90.00
_cell_angle_beta 90.00
_cell_angle_gamma 90.00
_space_group_name_H-M_alt 'I 4/m m m'
_space_group_IT_number 139
_space_group_name_Hall '-I 4 2'
loop_
_atom_site_label
_atom_site_fract_x
_atom_site_fract_y
_atom_site_fract_z
Ca1 0.0000 0.0000 0.0000
Rh1 0.0000 0.0000 0.5000
W1 0.0000 0.5000 0.2500

=====

Record 11
# CaRhW2 | the Alexandria database | PBE | optimized geometry
# * ΔE_f: 606 meV per atom
# * N(E_F): 0.805 states/eV per atom
# * electronic total energy: -65.67 eV for the cell shown
# * energy above the most stable polymorph in this dataset: 0.301 eV per atom
data_CaRhW2
_cell_length_a 5.2858
_cell_length_b 9.6193
_cell_length_c 2.7524
_cell_angle_alpha 90.00
_cell_angle_beta 90.00
_cell_angle_gamma 90.00
_space_group_name_H-M_alt 'C m m m'
_space_group_IT_number 65
_space_group_name_Hall '-C 2 2'
loop_
_atom_site_label
_atom_site_fract_x
_atom_site_fract_y
_atom_site_fract_z
Ca1 0.0000 0.0000 0.0000
Rh1 0.0000 0.5000 0.0000
W1 0.2500 0.2500 0.5000

=====

Record 12
# CaRhW3 | the Alexandria database | PBE | optimized geometry
# * ΔE_f: 1679 meV per atom
# * N(E_F): 1.805 states/eV per atom
# * electronic total energy: -39.82 eV for the cell shown
# * energy above the most stable polymorph in this dataset: 0.000 eV per atom
data_CaRhW3
_cell_length_a 4.8086
_cell_length_b 4.8086
_cell_length_c 4.8086
_cell_angle_alpha 90.00
_cell_angle_beta 90.00
_cell_angle_gamma 90.00
_space_group_name_H-M_alt 'P m -3 m'
_space_group_IT_number 221
_space_group_name_Hall '-P 4 2 3'
loop_
_atom_site_label
_atom_site_fract_x
_atom_site_fract_y
_atom_site_fract_z
Ca1 0.0000 0.0000 0.0000
Rh1 0.5000 0.5000 0.5000
W1 0.0000 0.5000 0.5000